Record 1
4
Lattice="-2.235 -0.656 4.842 0.976 -4.464 2.827 3.047 0.231 4.419" Properties=species:S:1:pos:R:3 comment="GGA-PBEsol SrBi2Au, relaxed" m_tot_mub_per_fu=0.00 formation_energy_ev_per_atom=-0.1950 sg="No. 225" pbc="T T T"
Sr 0.000 0.000 0.000
Bi 1.342 -3.666 9.065
Bi 0.447 -1.222 3.022
Au 0.895 -2.444 6.044

=====

Record 2
5
Lattice="5.215 0.000 0.000 0.000 5.215 0.000 0.000 0.000 5.215" Properties=species:S:1:pos:R:3 comment="GGA-PBEsol TcBiAu3, relaxed" m_tot_mub_per_fu=4.47 formation_energy_ev_per_atom=1.6588 sg="No. 221" pbc="T T T"
Au 0.000 2.607 0.000
Au 0.000 0.000 2.607
Au 2.607 0.000 0.000
Tc 2.607 2.607 2.607
Bi 0.000 0.000 0.000

=====

Record 3
8
Lattice="-6.475 1.032 2.493 1.928 -6.019 -2.370 0.761 -5.521 4.260" Properties=species:S:1:pos:R:3 comment="GGA-PBEsol BiTeAu2, relaxed" raw_formation_energy_ev_per_atom=0.16 m_tot_mub_per_fu=0.00 sg="No. 122" pbc="T T T"
Au 1.234 -9.205 2.288
Au -4.716 -3.994 4.207
Au -1.843 -1.866 0.920
Au -2.247 -5.951 1.352
Bi 0.000 0.000 0.000
Bi -3.321 -6.376 3.880
Te -0.464 -4.132 0.503
Te -2.857 -2.245 3.377

=====

Record 4
5
Lattice="4.733 0.000 0.000 0.000 4.733 0.000 -2.367 -2.367 5.585" Properties=species:S:1:pos:R:3 comment="GGA-PBEsol Ti2Bi2Au, relaxed" m_tot_mub_per_fu=0.00 formation_energy_ev_per_atom=0.4201 sg="No. 139" pbc="T T T"
Au 0.000 0.000 0.000
Bi 2.367 2.367 1.442
Bi 0.000 0.000 4.143
Ti 2.367 0.000 2.793
Ti 0.000 2.367 2.793

=====

Record 5
5
Lattice="-0.007 3.252 2.504 -3.913 -0.761 0.977 3.794 -4.778 2.853" Properties=species:S:1:pos:R:3 comment="GGA-PBEsol Ti2BiAu2, relaxed" m_tot_mub_per_fu=0.00 formation_energy_ev_per_atom=-0.0631 sg="No. 139" pbc="T T T"
Ti 0.914 -0.140 3.549
Ti -1.040 -2.147 2.785
Au 1.428 -2.751 3.577
Au -1.554 0.464 2.757
Bi 0.000 0.000 0.000

=====

Record 6
5
Lattice="5.174 0.000 0.000 0.000 5.464 0.000 0.000 0.000 5.464" Properties=species:S:1:pos:R:3 comment="GGA-PBEsol TlBi2WAu, relaxed" m_tot_mub_per_fu=3.54 formation_energy_ev_per_atom=1.3279 sg="No. 123" pbc="T T T"
W 2.587 0.000 0.000
Au 0.000 0.000 0.000
Tl 2.587 2.732 2.732
Bi 0.000 0.000 2.732
Bi 0.000 2.732 0.000

=====

Record 7
5
Lattice="-1.747 -1.438 -4.781 4.072 -3.341 -0.482 -2.889 -3.840 2.211" Properties=species:S:1:pos:R:3 comment="GGA-PBEsol Bi3WAu, relaxed" m_tot_mub_per_fu=0.00 formation_energy_ev_per_atom=0.8847 sg="No. 221" pbc="T T T"
Bi -0.873 -0.719 -2.390
Bi 2.036 -1.671 -0.241
Bi -1.444 -1.920 1.105
W 0.000 0.000 0.000
Au -0.282 -4.310 -1.526

=====

Record 8
5
Lattice="5.711 0.000 0.000 0.000 5.711 0.000 0.000 0.000 5.711" Properties=species:S:1:pos:R:3 comment="GGA-PBEsol YBi3Au, relaxed" m_tot_mub_per_fu=0.00 formation_energy_ev_per_atom=0.6701 sg="No. 221" pbc="T T T"
Bi 0.000 2.856 0.000
Bi 0.000 0.000 2.856
Bi 2.856 0.000 0.000
Au 2.856 2.856 2.856
Y 0.000 0.000 0.000